(1)
Entry from Alexandria: a geometry-optimized CeTcOs structure (PBE-GGA).

```
3
Lattice="4.234 0.000 0.000 -2.117 3.666 0.000 0.000 0.000 4.233" Properties=species:S:1:pos:R:3 pbc="T T T"
Ce 0.000 0.000 0.000
Tc 0.000 2.444 2.117
Os 2.117 1.222 2.117
```

## Properties
Energy of formation from the pure elements = 13.2 kJ/mol of atoms
Symmetry = No. 187
Energy above the most stable polymorph in this dataset = 0.3208 eV/atom

(2)
Entry from Alexandria: a geometry-optimized Ca3Ge4Ir2 structure (PBE-GGA).

```
9
Lattice="5.498 -2.189 0.000 5.498 2.189 0.000 -2.408 0.000 7.885" Properties=species:S:1:pos:R:3 pbc="T T T"
Ca 0.000 0.000 0.000
Ca 3.513 0.000 2.404
Ca 5.076 0.000 5.481
Ge 0.140 0.000 3.203
Ge 0.829 0.000 7.251
Ge 7.761 0.000 0.634
Ge 8.449 0.000 4.682
Ir 1.875 0.000 5.030
Ir 6.714 0.000 2.856
```

## Properties
Energy of formation from the pure elements = -62.5 kJ/mol of atoms
Symmetry = No. 12

(3)
Entry from Alexandria: a geometry-optimized PrNd2SmN4 structure (PBE-GGA).

```
8
Lattice="6.314 0.000 0.000 0.000 3.648 0.000 -2.099 0.000 5.956" Properties=species:S:1:pos:R:3 pbc="T T T"
Pr 0.000 0.000 0.000
Nd 2.107 0.000 2.978
Nd 3.157 1.824 0.000
Sm -1.050 1.824 2.978
N -0.001 0.000 4.446
N 1.049 1.824 1.506
N 3.165 1.824 4.449
N 4.215 0.000 1.509
```

## Properties
Symmetry = No. 10
ΔE_f (raw) = -1.368 eV per atom

(4)
Entry from Alexandria: a geometry-optimized AsOsCl2 structure (PBE-GGA).

```
4
Lattice="1.747 1.009 9.775 -1.747 1.009 9.775 0.000 -2.017 9.775" Properties=species:S:1:pos:R:3 pbc="T T T"
As 0.000 0.000 0.000
Os 0.000 0.000 14.663
Cl 0.000 0.000 6.148
Cl 0.000 0.000 23.178
```

## Properties
Symmetry = No. 166
Energy above the most stable polymorph in this dataset = 0.7506 eV/atom
ΔE_f (raw) = 0.676 eV per atom

What did the third record say?
Entry from Alexandria: a geometry-optimized PrNd2SmN4 structure (PBE-GGA).

```
8
Lattice="6.314 0.000 0.000 0.000 3.648 0.000 -2.099 0.000 5.956" Properties=species:S:1:pos:R:3 pbc="T T T"
Pr 0.000 0.000 0.000
Nd 2.107 0.000 2.978
Nd 3.157 1.824 0.000
Sm -1.050 1.824 2.978
N -0.001 0.000 4.446
N 1.049 1.824 1.506
N 3.165 1.824 4.449
N 4.215 0.000 1.509
```

## Properties
Symmetry = No. 10
ΔE_f (raw) = -1.368 eV per atom